Entry 1:
A plane-wave DFT calculation with GGA-PBE was carried out for a relaxed TiNiAg3 crystal.

abc: 4.7035 4.7035 4.7035
angles: 90.00 90.00 90.00
Closest atoms and distances in Å follow each position.
Fractional positions:
Ni 0.0000 0.0000 0.0000  6 Ag 2.35
Ag 0.0000 0.5000 0.0000  2 Ni 2.35
Ag 0.0000 0.0000 0.5000  2 Ni 2.35
Ag 0.5000 0.0000 0.0000  2 Ni 2.35
Ti 0.5000 0.5000 0.5000  12 Ag 3.33

Results
DFT formation energy	0.941	eV/atom
excess energy over the best structure of this formula in the dataset	0.000	kcal/mol of atoms
crystal system	cubic
space group	Pm-3m, No. 221

Entry 2:
A plane-wave DFT calculation with GGA-PBE was carried out for a relaxed Ti2NiAg crystal.

abc: 2.7842 2.7842 9.8277
angles: 81.86 81.86 60.00
Closest atoms and distances in Å follow each position.
Fractional positions:
Ni 0.5000 0.5000 0.5000  6 Ti 2.61, 6 Ni 2.78
Ag 0.0000 0.0000 0.0000  6 Ag 2.78, 2 Ti 2.79
Ti 0.0959 0.0959 0.7122  3 Ni 2.61, 6 Ti 2.78, 1 Ag 2.79
Ti 0.9041 0.9041 0.2878  3 Ni 2.61, 6 Ti 2.78, 1 Ag 2.79

Results
DFT formation energy	0.199	eV/atom
excess energy over the best structure of this formula in the dataset	7.344	kcal/mol of atoms
crystal system	trigonal
space group	R-3m, No. 166

Entry 3:
A plane-wave DFT calculation with GGA-PBE was carried out for a relaxed Ti3NiAg crystal.

abc: 4.5452 4.5452 4.5452
angles: 90.00 90.00 90.00
Closest atoms and distances in Å follow each position.
Fractional positions:
Ni 0.0000 0.0000 0.0000  6 Ti 2.27
Ag 0.5000 0.5000 0.5000  12 Ti 3.21
Ti 0.0000 0.5000 0.0000  2 Ni 2.27
Ti 0.0000 0.0000 0.5000  2 Ni 2.27
Ti 0.5000 0.0000 0.0000  2 Ni 2.27

Results
DFT formation energy	0.386	eV/atom
excess energy over the best structure of this formula in the dataset	0.000	kcal/mol of atoms
crystal system	cubic
space group	Pm-3m, No. 221

Entry 4:
A plane-wave DFT calculation with GGA-PBE was carried out for a relaxed TiNiAg2 crystal.

abc: 7.3034 7.3034 5.7884
angles: 50.89 50.89 90.00
Closest atoms and distances in Å follow each position.
Fractional positions:
Ni 0.0000 0.0000 0.0000  4 Ag 2.52, 2 Ti 2.61
Ni 0.7500 0.2500 0.5000  4 Ag 2.52, 2 Ti 2.61
Ag 0.6542 0.1250 0.2500  2 Ni 2.52, 2 Ag 2.65, 2 Ti 2.81
Ag 0.0958 0.6250 0.2500  2 Ni 2.52, 2 Ag 2.65, 2 Ti 2.81
Ag 0.3750 0.3458 0.7500  2 Ni 2.52, 2 Ag 2.65, 2 Ti 2.81
Ag 0.8750 0.9042 0.7500  2 Ni 2.52, 2 Ag 2.65, 2 Ti 2.81
Ti 0.5000 0.5000 0.0000  2 Ni 2.61, 4 Ag 2.81
Ti 0.2500 0.7500 0.5000  2 Ni 2.61, 4 Ag 2.81

Results
DFT formation energy	0.479	eV/atom
excess energy over the best structure of this formula in the dataset	6.952	kcal/mol of atoms
crystal system	tetragonal
space group	I-42d, No. 122

Entry 5:
A plane-wave DFT calculation with GGA-PBE was carried out for a relaxed Ti3NiAg crystal.

abc: 4.8083 4.8083 4.8083
angles: 90.00 90.00 90.00
Closest atoms and distances in Å follow each position.
Fractional positions:
Ni 0.5000 0.5000 0.5000  12 Ti 3.40
Ag 0.0000 0.0000 0.0000  6 Ti 2.40
Ti 0.0000 0.5000 0.0000  2 Ag 2.40
Ti 0.0000 0.0000 0.5000  2 Ag 2.40
Ti 0.5000 0.0000 0.0000  2 Ag 2.40

Results
DFT formation energy	1.381	eV/atom
excess energy over the best structure of this formula in the dataset	22.925	kcal/mol of atoms
crystal system	cubic
space group	Pm-3m, No. 221

Entry 6:
A plane-wave DFT calculation with GGA-PBE was carried out for a relaxed Ti2NiAg crystal.

abc: 3.7980 3.7980 9.5141
angles: 78.49 78.49 90.00
Closest atoms and distances in Å follow each position.
Fractional positions:
Ni 0.5000 0.5000 0.0000  4 Ti 2.63, 4 Ag 2.69
Ni 0.2500 0.7500 0.5000  4 Ti 2.63, 4 Ag 2.69
Ag 0.0000 0.0000 0.0000  4 Ti 2.66, 4 Ni 2.69
Ag 0.7500 0.2500 0.5000  4 Ti 2.66, 4 Ni 2.69
Ti 0.6127 0.1250 0.2500  4 Ti 2.62-2.75, 2 Ni 2.63, 2 Ag 2.66
Ti 0.1373 0.6250 0.2500  4 Ti 2.62-2.75, 2 Ni 2.63, 2 Ag 2.66
Ti 0.3750 0.3873 0.7500  4 Ti 2.62-2.75, 2 Ni 2.63, 2 Ag 2.66
Ti 0.8750 0.8627 0.7500  4 Ti 2.62-2.75, 2 Ni 2.63, 2 Ag 2.66

Results
DFT formation energy	0.383	eV/atom
excess energy over the best structure of this formula in the dataset	11.604	kcal/mol of atoms
crystal system	tetragonal
space group	I-42d, No. 122

Entry 7:
A plane-wave DFT calculation with GGA-PBE was carried out for a relaxed Ti2NiAg crystal.

abc: 2.7723 2.7723 7.9925
angles: 90.00 90.00 90.00
Closest atoms and distances in Å follow each position.
Fractional positions:
Ni 0.5000 0.5000 0.0000  8 Ti 2.61, 4 Ni 2.77
Ag 0.5000 0.5000 0.5000  4 Ag 2.77, 8 Ti 3.00
Ti 0.0000 0.0000 0.7839  4 Ni 2.61, 4 Ti 2.77
Ti 0.0000 0.0000 0.2161  4 Ni 2.61, 4 Ti 2.77

Results
DFT formation energy	-0.120	eV/atom
excess energy over the best structure of this formula in the dataset	0.000	kcal/mol of atoms
crystal system	tetragonal
space group	P4/mmm, No. 123

Entry 8:
A plane-wave DFT calculation with GGA-PBE was carried out for a relaxed Ti2Ni2Ag crystal.

abc: 7.0151 7.0151 2.9426
angles: 90.00 90.00 90.00
Closest atoms and distances in Å follow each position.
Fractional positions:
Ni 0.3722 0.8722 0.0000  6 Ti 2.53-2.54, 1 Ni 2.54, 2 Ag 2.76
Ni 0.8722 0.6278 0.0000  6 Ti 2.53-2.54, 1 Ni 2.54, 2 Ag 2.76
Ni 0.6278 0.1278 0.0000  6 Ti 2.53-2.54, 1 Ni 2.54, 2 Ag 2.76
Ni 0.1278 0.3722 0.0000  6 Ti 2.53-2.54, 1 Ni 2.54, 2 Ag 2.76
Ag 0.0000 0.0000 0.0000  4 Ni 2.76, 2 Ag 2.94, 8 Ti 3.00
Ag 0.5000 0.5000 0.0000  4 Ni 2.76, 2 Ag 2.94, 8 Ti 3.00
Ti 0.1649 0.6649 0.5000  6 Ni 2.53-2.54
Ti 0.6649 0.8351 0.5000  6 Ni 2.53-2.54
Ti 0.8351 0.3351 0.5000  6 Ni 2.53-2.54
Ti 0.3351 0.1649 0.5000  6 Ni 2.53-2.54

Results
DFT formation energy	-0.286	eV/atom
excess energy over the best structure of this formula in the dataset	0.000	kcal/mol of atoms
crystal system	tetragonal
space group	P4/mbm, No. 127

Entry 9:
A plane-wave DFT calculation with GGA-PBE was carried out for a relaxed Tl2NiAg crystal.

abc: 4.8527 4.8527 4.8527
angles: 60.00 60.00 60.00
Closest atoms and distances in Å follow each position.
Fractional positions:
Ni 0.0000 0.0000 0.0000  8 Tl 2.97
Tl 0.2500 0.2500 0.2500  4 Ag 2.97, 4 Ni 2.97
Tl 0.7500 0.7500 0.7500  4 Ag 2.97, 4 Ni 2.97
Ag 0.5000 0.5000 0.5000  8 Tl 2.97

Results
DFT formation energy	0.338	eV/atom
excess energy over the best structure of this formula in the dataset	2.926	kcal/mol of atoms
crystal system	cubic
space group	Fm-3m, No. 225

Entry 10:
A plane-wave DFT calculation with GGA-PBE was carried out for a relaxed Tl2NiAg crystal.

abc: 6.7701 6.7701 6.7701
angles: 153.69 141.50 47.23
Closest atoms and distances in Å follow each position.
Fractional positions:
Ag 0.4342 0.4342 0.0000  2 Ni 2.76, 2 Ag 3.08, 2 Tl 3.09
Ni 0.2494 0.7494 0.5000  6 Tl 2.72-2.87, 2 Ag 2.76
Tl 0.0540 0.0540 0.0000  2 Ni 2.87, 2 Tl 3.08, 4 Ag 3.09
Tl 0.7624 0.2624 0.5000  4 Ni 2.72

Results
DFT formation energy	0.220	eV/atom
excess energy over the best structure of this formula in the dataset	0.202	kcal/mol of atoms
crystal system	orthorhombic
space group	Imm2, No. 44

Entry 11:
A plane-wave DFT calculation with GGA-PBE was carried out for a relaxed Tl2NiAg crystal.

abc: 3.5933 3.5933 8.6801
angles: 77.34 77.34 51.82
Closest atoms and distances in Å follow each position.
Fractional positions:
Ag 0.7500 0.7500 0.7500  6 Tl 3.00-3.27, 2 Ag 3.14
Ni 0.2500 0.2500 0.2500  6 Tl 2.70-2.74
Tl 0.0070 0.0070 0.0312  3 Ni 2.70-2.74, 2 Ag 3.00
Tl 0.4930 0.4930 0.4688  3 Ni 2.70-2.74, 2 Ag 3.00

Results
DFT formation energy	0.314	eV/atom
excess energy over the best structure of this formula in the dataset	2.375	kcal/mol of atoms
crystal system	monoclinic
space group	C2/m, No. 12

Entry 12:
A plane-wave DFT calculation with GGA-PBE was carried out for a relaxed Tl2NiAg crystal.

abc: 3.2280 3.3221 8.0156
angles: 71.66 90.00 90.00
Closest atoms and distances in Å follow each position.
Fractional positions:
Ag 0.5000 0.2500 0.2500  8 Tl 3.02-3.33, 4 Ag 3.23-3.32
Ni 0.5000 0.7500 0.7500  8 Tl 2.78-2.91
Tl 0.0000 0.0523 0.9667  4 Ni 2.78-2.91, 2 Ag 3.02
Tl 0.0000 0.4477 0.5333  4 Ni 2.78-2.91, 2 Ag 3.02

Results
DFT formation energy	0.286	eV/atom
excess energy over the best structure of this formula in the dataset	1.735	kcal/mol of atoms
crystal system	monoclinic
space group	P2/m, No. 10

Entry 13:
A plane-wave DFT calculation with GGA-PBE was carried out for a relaxed Tl2NiAg crystal.

abc: 4.9322 4.9322 4.9322
angles: 60.00 60.00 60.00
Closest atoms and distances in Å follow each position.
Fractional positions:
Ag 0.5000 0.5000 0.5000  4 Ni 3.02, 4 Tl 3.02
Ni 0.2500 0.2500 0.2500  4 Tl 3.02, 4 Ag 3.02
Tl 0.0000 0.0000 0.0000  4 Tl 3.02, 4 Ni 3.02
Tl 0.7500 0.7500 0.7500  4 Ag 3.02, 4 Tl 3.02

Results
DFT formation energy	0.429	eV/atom
excess energy over the best structure of this formula in the dataset	5.031	kcal/mol of atoms
crystal system	cubic
space group	F-43m, No. 216

Entry 14:
A plane-wave DFT calculation with GGA-PBE was carried out for a relaxed TlNiAg3 crystal.

abc: 4.8937 4.8937 4.8937
angles: 90.00 90.00 90.00
Closest atoms and distances in Å follow each position.
Fractional positions:
Ni 0.0000 0.0000 0.0000  6 Ag 2.45
Tl 0.5000 0.5000 0.5000  12 Ag 3.46
Ag 0.0000 0.5000 0.0000  2 Ni 2.45
Ag 0.0000 0.0000 0.5000  2 Ni 2.45
Ag 0.5000 0.0000 0.0000  2 Ni 2.45

Results
DFT formation energy	0.575	eV/atom
excess energy over the best structure of this formula in the dataset	0.000	kcal/mol of atoms
crystal system	cubic
space group	Pm-3m, No. 221

Entry 15:
A plane-wave DFT calculation with GGA-PBE was carried out for a relaxed Tl3NiAg crystal.

abc: 5.4634 5.4634 5.4634
angles: 90.00 90.00 90.00
Closest atoms and distances in Å follow each position.
Fractional positions:
Ni 0.5000 0.5000 0.5000  12 Tl 3.86
Tl 0.0000 0.5000 0.0000  2 Ag 2.73
Tl 0.0000 0.0000 0.5000  2 Ag 2.73
Tl 0.5000 0.0000 0.0000  2 Ag 2.73
Ag 0.0000 0.0000 0.0000  6 Tl 2.73

Results
DFT formation energy	0.823	eV/atom
excess energy over the best structure of this formula in the dataset	13.597	kcal/mol of atoms
crystal system	cubic
space group	Pm-3m, No. 221

Entry 16:
A plane-wave DFT calculation with GGA-PBE was carried out for a relaxed TlNi2Ag2 crystal.

abc: 7.5685 7.5685 2.9484
angles: 90.00 90.00 90.00
Closest atoms and distances in Å follow each position.
Fractional positions:
Ni 0.1637 0.6637 0.5000  6 Ag 2.64-2.69, 2 Ni 2.95
Ni 0.6637 0.8363 0.5000  6 Ag 2.64-2.69, 2 Ni 2.95
Ni 0.8363 0.3363 0.5000  6 Ag 2.64-2.69, 2 Ni 2.95
Ni 0.3363 0.1637 0.5000  6 Ag 2.64-2.69, 2 Ni 2.95
Tl 0.0000 0.0000 0.0000  2 Tl 2.95, 4 Ag 2.96, 8 Ni 3.19
Tl 0.5000 0.5000 0.0000  2 Tl 2.95, 4 Ag 2.96, 8 Ni 3.19
Ag 0.3687 0.8687 0.0000  6 Ni 2.64-2.69, 3 Ag 2.81-2.95
Ag 0.8687 0.6313 0.0000  6 Ni 2.64-2.69, 3 Ag 2.81-2.95
Ag 0.6313 0.1313 0.0000  6 Ni 2.64-2.69, 3 Ag 2.81-2.95
Ag 0.1313 0.3687 0.0000  6 Ni 2.64-2.69, 3 Ag 2.81-2.95

Results
DFT formation energy	0.391	eV/atom
excess energy over the best structure of this formula in the dataset	3.158	kcal/mol of atoms
crystal system	tetragonal
space group	P4/mbm, No. 127

Entry 17:
A plane-wave DFT calculation with GGA-PBE was carried out for a relaxed TlNi2Ag2 crystal.

abc: 3.3117 3.3117 8.7255
angles: 79.06 79.06 90.00
Closest atoms and distances in Å follow each position.
Fractional positions:
Ni 0.7500 0.2500 0.5000  4 Ni 2.34
Ni 0.2500 0.7500 0.5000  4 Ni 2.34
Tl 0.0000 0.0000 0.0000  8 Ag 3.13, 4 Tl 3.31
Ag 0.3764 0.3764 0.2472  4 Ni 2.69
Ag 0.6236 0.6236 0.7528  4 Ni 2.69

Results
DFT formation energy	0.398	eV/atom
excess energy over the best structure of this formula in the dataset	3.312	kcal/mol of atoms
crystal system	tetragonal
space group	I4/mmm, No. 139

Entry 18:
A plane-wave DFT calculation with GGA-PBE was carried out for a relaxed Tl2NiAg crystal.

abc: 5.4763 5.4763 5.4763
angles: 134.72 134.72 65.96
Closest atoms and distances in Å follow each position.
Fractional positions:
Ag 0.5000 0.5000 0.0000  8 Tl 2.98-3.12, 4 Ni 3.12
Ni 0.7500 0.2500 0.5000  8 Tl 2.98-3.12, 4 Ag 3.12
Tl 0.0000 0.0000 0.0000  4 Ag 2.98, 4 Tl 3.12, 4 Ni 3.12
Tl 0.2500 0.7500 0.5000  4 Ni 2.98, 4 Tl 3.12, 4 Ag 3.12

Results
DFT formation energy	0.360	eV/atom
excess energy over the best structure of this formula in the dataset	3.440	kcal/mol of atoms
crystal system	tetragonal
space group	I-4m2, No. 119

Entry 19:
A plane-wave DFT calculation with GGA-PBE was carried out for a relaxed Tl2NiAg crystal.

abc: 4.7391 4.7391 3.6103
angles: 90.00 90.00 89.59
Closest atoms and distances in Å follow each position.
Fractional positions:
Ag 0.5000 0.0000 0.5000  8 Tl 2.98
Ni 0.0000 0.5000 0.5000  8 Tl 2.98
Tl 0.0000 0.0000 0.0000  4 Ni 2.98, 4 Ag 2.98
Tl 0.5000 0.5000 0.0000  4 Ag 2.98, 4 Ni 2.98

Results
DFT formation energy	0.349	eV/atom
excess energy over the best structure of this formula in the dataset	3.194	kcal/mol of atoms
crystal system	orthorhombic
space group	Cmmm, No. 65

Entry 20:
A plane-wave DFT calculation with GGA-PBE was carried out for a relaxed Tl2NiAg crystal.

abc: 3.1689 4.2999 6.8186
angles: 71.77 90.00 90.00
Closest atoms and distances in Å follow each position.
Fractional positions:
Ag 0.0000 0.6816 0.5119  2 Ni 2.73
Ni 0.5000 0.5105 0.8551  5 Tl 2.67-2.70, 2 Ag 2.73
Tl 0.0000 0.0075 0.8609  4 Ni 2.67
Tl 0.5000 0.3003 0.2721  1 Ni 2.70

Results
DFT formation energy	0.211	eV/atom
excess energy over the best structure of this formula in the dataset	0.000	kcal/mol of atoms
crystal system	monoclinic
space group	Pm, No. 6